No. 1
A relaxed structure of Si5Te12Pb3, computed with PBE-GGA.

Computed properties:
Its symmetry is Ia-3d, No. 230. The calculation puts the total energy at -3.81 eV per atom. The calculation puts the uncorrected formation energy at -0.01 eV/atom.

Cell: 14.986 14.986 14.986 Å, 109.47 109.47 109.47°
Fractional coordinates of all 80 atoms:
1 Pb 0.750 0.375 0.125
2 Pb 0.875 0.750 0.125
3 Pb 0.375 0.750 0.625
4 Pb 0.250 0.125 0.375
5 Pb 0.875 0.125 0.250
6 Pb 0.375 0.625 0.250
7 Pb 0.625 0.375 0.750
8 Pb 0.125 0.875 0.750
9 Pb 0.750 0.875 0.625
10 Pb 0.625 0.250 0.375
11 Pb 0.125 0.250 0.875
12 Pb 0.250 0.625 0.875
13 Si 0.125 0.375 0.250
14 Si 0.000 0.500 0.000
15 Si 0.000 0.000 0.000
16 Si 0.375 0.250 0.125
17 Si 0.500 0.000 0.500
18 Si 0.500 0.500 0.000
19 Si 0.125 0.750 0.375
20 Si 0.750 0.125 0.875
21 Si 0.750 0.625 0.375
22 Si 0.375 0.125 0.750
23 Si 0.625 0.875 0.250
24 Si 0.500 0.500 0.500
25 Si 0.500 0.000 0.000
26 Si 0.000 0.000 0.500
27 Si 0.250 0.375 0.625
28 Si 0.250 0.875 0.125
29 Si 0.000 0.500 0.500
30 Si 0.875 0.250 0.625
31 Si 0.625 0.750 0.875
32 Si 0.875 0.625 0.750
33 Te 0.707 0.118 0.026
34 Te 0.319 0.526 0.408
35 Te 0.974 0.382 0.293
36 Te 0.526 0.207 0.118
37 Te 0.588 0.707 0.681
38 Te 0.974 0.592 0.181
39 Te 0.319 0.793 0.412
40 Te 0.092 0.912 0.118
41 Te 0.592 0.974 0.681
42 Te 0.707 0.588 0.181
43 Te 0.793 0.474 0.382
44 Te 0.819 0.908 0.026
45 Te 0.118 0.707 0.526
46 Te 0.382 0.408 0.088
47 Te 0.088 0.908 0.382
48 Te 0.412 0.118 0.592
49 Te 0.088 0.181 0.207
50 Te 0.474 0.681 0.092
51 Te 0.819 0.912 0.293
52 Te 0.118 0.412 0.092
53 Te 0.382 0.974 0.793
54 Te 0.592 0.618 0.412
55 Te 0.908 0.819 0.526
56 Te 0.793 0.319 0.912
57 Te 0.408 0.382 0.588
58 Te 0.092 0.181 0.474
59 Te 0.207 0.681 0.088
60 Te 0.181 0.088 0.707
61 Te 0.618 0.026 0.207
62 Te 0.882 0.588 0.908
63 Te 0.526 0.319 0.908
64 Te 0.588 0.882 0.408
65 Te 0.912 0.819 0.793
66 Te 0.912 0.092 0.618
67 Te 0.882 0.293 0.474
68 Te 0.181 0.092 0.974
69 Te 0.618 0.592 0.912
70 Te 0.408 0.026 0.319
71 Te 0.293 0.412 0.819
72 Te 0.207 0.526 0.618
73 Te 0.908 0.088 0.882
74 Te 0.681 0.207 0.588
75 Te 0.474 0.793 0.882
76 Te 0.026 0.408 0.819
77 Te 0.412 0.293 0.319
78 Te 0.026 0.618 0.707
79 Te 0.681 0.474 0.592
80 Te 0.293 0.882 0.974

---

No. 2
A relaxed structure of PrDy2Ho4, computed with PBE-GGA.

Computed properties:
Its energy relative to the elements is 35 meV per atom. Its polymorph energy (0 for the lowest one) is 0 meV/atom. Its symmetry is C2/m, No. 12. The calculation puts the total energy at -4.58 eV per atom.

Cell: 3.527 9.427 8.501 Å, 121.49 78.05 111.95°
Fractional coordinates of all 7 atoms:
1 Pr 0.000 0.000 0.000
2 Dy 0.360 0.430 0.140
3 Dy 0.640 0.570 0.860
4 Ho 0.411 0.705 0.588
5 Ho 0.809 0.166 0.715
6 Ho 0.589 0.295 0.412
7 Ho 0.191 0.834 0.285

---

No. 3
A relaxed structure of LaHgAs2, computed with PBE-GGA.

Computed properties:
Its energy relative to the elements is -643 meV per atom. Its symmetry is P4/mmm, No. 123. The calculation puts the total energy at -4.27 eV per atom.

Cell: 4.134 4.134 6.758 Å, 90.00 90.00 90.00°
Fractional coordinates of all 4 atoms:
1 As 0.000 0.000 0.931
2 As 0.000 0.000 0.569
3 Hg 0.500 0.500 0.250
4 La 0.500 0.500 0.750

---

No. 4
A relaxed structure of KCaBr2, computed with PBE-GGA.

Computed properties:
Its polymorph energy (0 for the lowest one) is 109 meV/atom. Its symmetry is Cmmm, No. 65. The calculation puts the total energy at -2.99 eV per atom. The calculation puts the uncorrected formation energy at -1.38 eV/atom.

Cell: 4.792 4.792 9.262 Å, 90.00 90.00 128.07°
Site moments in Bohr magnetons follow the coordinates.
Fractional coordinates of all 4 atoms:
1 Br 0.000 0.000 0.028  0.01
2 Br 0.000 0.000 0.472  0.01
3 Ca 0.500 0.500 0.250  0.06
4 K 0.500 0.500 0.750  0.00

---

No. 5
A relaxed structure of InH2Rh2, computed with PBE-GGA.

Computed properties:
Its polymorph energy (0 for the lowest one) is 0 meV/atom. Its symmetry is I4/mmm, No. 139. The calculation puts the total energy at -5.01 eV per atom.

Cell: 3.163 3.163 5.873 Å, 74.38 74.38 90.00°
Fractional coordinates of all 5 atoms:
1 H 0.750 0.250 0.500
2 H 0.250 0.750 0.500
3 Rh 0.347 0.347 0.306
4 Rh 0.653 0.653 0.694
5 In 0.000 0.000 0.000

---

No. 6
A relaxed structure of NaSmCl, computed with PBE-GGA.

Computed properties:
Its symmetry is C2/m, No. 12. The calculation puts the total energy at -3.47 eV per atom. The calculation puts the uncorrected formation energy at -0.84 eV/atom.

Cell: 3.759 3.759 17.255 Å, 76.98 76.98 60.03°
Site moments in Bohr magnetons follow the coordinates.
Fractional coordinates of all 6 atoms:
1 Na 0.476 0.476 0.250  0.00
2 Na 0.278 0.278 0.057  0.00
3 Sm 0.683 0.683 0.434  0.44
4 Sm 0.069 0.069 0.873  0.44
5 Cl 0.276 0.276 0.542  0.02
6 Cl 0.477 0.477 0.765  0.02

---

No. 7
A relaxed structure of TaRe4N2, computed with PBE-GGA.

Computed properties:
Its symmetry is I4/mmm, No. 139. The calculation puts the total energy at -8.71 eV per atom. The calculation puts the uncorrected formation energy at 2.48 eV/atom.

Cell: 4.665 4.665 6.442 Å, 68.77 68.77 90.00°
Site moments in Bohr magnetons follow the coordinates.
Fractional coordinates of all 7 atoms:
1 Re 0.762 0.762 0.477  0.47
2 Re 0.238 0.238 0.523  0.47
3 Re 0.000 0.500 0.000  0.07
4 Re 0.500 0.000 0.000  0.07
5 N 0.598 0.598 0.804  -0.01
6 N 0.402 0.402 0.196  -0.01
7 Ta 0.000 0.000 0.000  -0.02

---

No. 8
A relaxed structure of Sm6Sb3TePb2, computed with PBE-GGA.

Computed properties:
Its symmetry is C2/m, No. 12. The calculation puts the total energy at -5.26 eV per atom. The calculation puts the uncorrected formation energy at -0.99 eV/atom.

Cell: 4.430 9.076 10.052 Å, 103.28 102.73 90.00°
Fractional coordinates of all 12 atoms:
1 Sm 0.332 0.920 0.665
2 Sm 0.665 0.588 0.330
3 Sm 0.668 0.080 0.335
4 Sm 0.000 0.255 0.000
5 Sm 0.000 0.745 0.000
6 Sm 0.335 0.412 0.670
7 Sb 0.500 0.500 0.000
8 Sb 0.835 0.166 0.670
9 Sb 0.165 0.834 0.330
10 Te 0.500 0.000 0.000
11 Pb 0.833 0.667 0.667
12 Pb 0.167 0.333 0.333

---

No. 9
A relaxed structure of KNdSeS, computed with PBE-GGA.

Computed properties:
Its symmetry is R3m, No. 160. The calculation puts the total energy at -5.17 eV per atom. The calculation puts the uncorrected formation energy at -1.80 eV/atom.

Cell: 4.273 4.273 7.950 Å, 74.41 74.41 60.00°
Fractional coordinates of all 4 atoms:
1 K 0.498 0.498 0.506
2 Nd 0.004 0.004 0.989
3 Se 0.263 0.263 0.211
4 S 0.736 0.736 0.793

---

No. 10
A relaxed structure of Er3GeI7, computed with PBE-GGA.

Computed properties:
Its symmetry is P3m1, No. 156. The calculation puts the total energy at -3.69 eV per atom. The calculation puts the uncorrected formation energy at -1.04 eV/atom.

Cell: 7.372 8.658 8.658 Å, 120.00 90.00 90.00°
Site moments in Bohr magnetons follow the coordinates.
Fractional coordinates of all 11 atoms:
1 Er 0.775 0.495 0.505  0.16
2 Er 0.775 0.495 0.990  0.16
3 Er 0.775 0.010 0.505  0.16
4 Ge 0.564 0.333 0.667  0.57
5 I 0.020 0.170 0.830  0.03
6 I 0.020 0.170 0.340  0.03
7 I 0.021 0.667 0.333  0.03
8 I 0.548 0.831 0.169  0.01
9 I 0.548 0.338 0.169  0.01
10 I 0.548 0.831 0.662  0.01
11 I 0.020 0.660 0.830  0.03

---

No. 11
A relaxed structure of YGa2Ni2, computed with PBE-GGA.

Computed properties:
Its energy relative to the elements is -529 meV per atom. Its symmetry is Fddd, No. 70. The calculation puts the total energy at -5.34 eV per atom.

Cell: 5.716 5.716 6.965 Å, 99.65 99.65 126.27°
Fractional coordinates of all 10 atoms:
1 Y 0.500 0.500 0.000
2 Y 0.750 0.250 0.500
3 Ga 0.195 0.805 0.000
4 Ga 0.805 0.195 0.000
5 Ga 0.055 0.945 0.500
6 Ga 0.445 0.555 0.500
7 Ni 0.898 0.898 0.795
8 Ni 0.102 0.102 0.205
9 Ni 0.148 0.648 0.295
10 Ni 0.352 0.852 0.705

---

No. 12
A relaxed structure of Tm8BiPd2, computed with PBE-GGA.

Computed properties:
Its energy relative to the elements is -392 meV per atom. Its symmetry is C2/m, No. 12. The calculation puts the total energy at -4.94 eV per atom.

Cell: 5.513 7.919 7.919 Å, 113.67 98.18 98.18°
Site moments in Bohr magnetons follow the coordinates.
Fractional coordinates of all 11 atoms:
1 Tm 0.590 0.338 0.085  0.14
2 Tm 0.590 0.085 0.338  0.14
3 Tm 0.200 0.402 0.402  0.14
4 Tm 0.000 0.250 0.756  0.06
5 Tm 0.000 0.756 0.250  0.06
6 Tm 0.800 0.604 0.604  0.14
7 Tm 0.410 0.921 0.669  0.14
8 Tm 0.410 0.669 0.921  0.14
9 Bi 0.000 0.003 0.003  -0.01
10 Pd 0.500 0.700 0.306  0.02
11 Pd 0.500 0.306 0.700  0.02

---

Copy entry 9 word for word.
A relaxed structure of KNdSeS, computed with PBE-GGA.

Computed properties:
Its symmetry is R3m, No. 160. The calculation puts the total energy at -5.17 eV per atom. The calculation puts the uncorrected formation energy at -1.80 eV/atom.

Cell: 4.273 4.273 7.950 Å, 74.41 74.41 60.00°
Fractional coordinates of all 4 atoms:
1 K 0.498 0.498 0.506
2 Nd 0.004 0.004 0.989
3 Se 0.263 0.263 0.211
4 S 0.736 0.736 0.793